## TlTcHg4 (PBE-GGA)

Data for a relaxed structure of TlTcHg4.

Computed properties:
* raw total energy: -1.63 eV per atom
* energy of formation from the pure elements: 0.70 eV per atom

Cell: 8.4059 8.4059 8.4059 Å, 90.00 90.00 90.00°
Space group F-43m (No. 216)
Asymmetric unit:
Tl 0.0000 0.0000 0.0000 [4 per cell]
Tc 0.2500 0.2500 0.2500 [4 per cell]
Hg 0.1244 0.1244 0.6244 [16 per cell]

=====

## KCaBi2Mo (PBE-GGA)

Data for a relaxed structure of KCaBi2Mo.

Computed properties:
* raw total energy: -3.44 eV per atom
* energy of formation from the pure elements: 0.90 eV per atom

Cell: 5.9355 5.9355 5.7405 Å, 90.00 90.00 90.00°
Space group P4/mmm (No. 123)
Asymmetric unit:
K 0.0000 0.0000 0.0000 [1 per cell]
Ca 0.5000 0.5000 0.5000 [1 per cell]
Bi 0.0000 0.5000 0.5000 [2 per cell]
Mo 0.5000 0.5000 0.0000 [1 per cell]

=====

## ErMgNi5Ge2 (PBE-GGA)

Data for a relaxed structure of ErMgNi5Ge2.

Computed properties:
* raw total energy: -5.21 eV per atom
* energy of formation from the pure elements: -0.29 eV per atom

Cell: 3.9359 3.9359 8.6323 Å, 90.00 90.00 90.00°
Space group P4/mmm (No. 123)
Asymmetric unit:
Er 0.0000 0.0000 0.0000 [1 per cell]
Mg 0.0000 0.0000 0.5000 [1 per cell]
Ni 0.0000 0.5000 0.2191 [4 per cell]
Ni 0.5000 0.5000 0.0000 [1 per cell]
Ge 0.5000 0.5000 0.3586 [2 per cell]

=====

## BeGeAs2Se (PBE-GGA)

Data for a relaxed structure of BeGeAs2Se.

Computed properties:
* ΔE_f (raw): 1.1048 eV per atom
* raw total energy: -3.12 eV per atom

Cell: 4.9397 4.9397 4.9350 Å, 90.00 90.00 90.00°
Space group P4/mmm (No. 123)
Asymmetric unit:
Be 0.0000 0.0000 0.0000 [1 per cell]
Ge 0.5000 0.5000 0.5000 [1 per cell]
As 0.0000 0.5000 0.5000 [2 per cell]
Se 0.5000 0.5000 0.0000 [1 per cell]

=====

## Tb3Nd4Dy4 (PBE-GGA)

Data for a relaxed structure of Tb3Nd4Dy4.

Computed properties:
* raw total energy: -4.55 eV per atom
* energy of formation from the pure elements: 0.12 eV per atom

Cell: 3.6084 9.4628 21.8737 Å, 90.00 90.00 90.00°
Space group Immm (No. 71)
Asymmetric unit:
Tb 0.0000 0.0000 0.0000 [2 per cell]
Tb 0.0000 0.5000 0.1072 [4 per cell]
Nd 0.0000 0.3221 0.3551 [8 per cell]
Dy 0.0000 0.0000 0.2604 [4 per cell]
Dy 0.0000 0.1829 0.5000 [4 per cell]

=====

## AlZnCrTc (PBE-GGA)

Data for a relaxed structure of AlZnCrTc.

Computed properties:
* raw total energy: -6.33 eV per atom
* energy of formation from the pure elements: -0.08 eV per atom

Cell: 5.9939 5.9939 5.9939 Å, 90.00 90.00 90.00°
Space group F-43m (No. 216)
Asymmetric unit:
Al 0.0000 0.0000 0.0000 [4 per cell]
Zn 0.2500 0.2500 0.2500 [4 per cell]
Cr 0.0000 0.0000 0.5000 [4 per cell]
Tc 0.2500 0.2500 0.7500 [4 per cell]

=====

## ZrSi3Rh (PBE-GGA)

Data for a relaxed structure of ZrSi3Rh.

Computed properties:
* ΔE_f (raw): 0.4073 eV per atom
* raw total energy: -6.03 eV per atom

Cell: 4.5898 4.5898 4.5898 Å, 90.00 90.00 90.00°
Space group Pm-3m (No. 221)
Asymmetric unit:
Zr 0.0000 0.0000 0.0000 [1 per cell]
Si 0.0000 0.5000 0.5000 [3 per cell]
Rh 0.5000 0.5000 0.5000 [1 per cell]

=====

## TmBiPtAu (PBE-GGA)

Data for a relaxed structure of TmBiPtAu.

Computed properties:
* raw total energy: -5.06 eV per atom
* energy of formation from the pure elements: -0.64 eV per atom

Cell: 7.0358 7.0358 7.0358 Å, 90.00 90.00 90.00°
Space group F-43m (No. 216)
Asymmetric unit:
Tm 0.0000 0.0000 0.0000 [4 per cell]
Bi 0.0000 0.0000 0.5000 [4 per cell]
Pt 0.2500 0.2500 0.7500 [4 per cell]
Au 0.2500 0.2500 0.2500 [4 per cell]